# TbNd12Pb3

Crystalline TbNd12Pb3 at its relaxed geometry (PBE, Alexandria via LeMat-Bulk).

```
TbNd12Pb3
1.0
5.011 0.000 0.000
0.000 5.011 0.000
0.000 0.000 20.440
Tb Nd Pb
1 12 3
direct
0.000 0.000 0.000
0.000 0.500 0.131
0.000 0.500 0.378
0.000 0.500 0.622
0.000 0.500 0.869
0.500 0.000 0.131
0.500 0.000 0.378
0.500 0.000 0.622
0.500 0.000 0.869
0.500 0.500 0.000
0.500 0.500 0.256
0.500 0.500 0.500
0.500 0.500 0.744
0.000 0.000 0.255
0.000 0.000 0.500
0.000 0.000 0.745
```

## Properties
Total magnetic moment: 0.00 μB per cell
Energy relative to the elements: -3.84 eV per formula unit

***

# RuICl

Crystalline RuICl at its relaxed geometry (PBE, Alexandria via LeMat-Bulk).

```
RuICl
1.0
3.603 0.000 0.000
-1.757 7.620 0.000
-1.703 -2.122 7.409
Ru I Cl
2 2 2
direct
0.199 0.492 0.401
0.801 0.508 0.599
0.056 0.840 0.797
0.944 0.160 0.203
0.298 0.369 0.736
0.702 0.631 0.264
```

## Properties
Total magnetic moment: 0.04 μB per cell
Formation energy (no corrections): 58 meV/atom

***

# BaPtSe2

Crystalline BaPtSe2 at its relaxed geometry (PBE, Alexandria via LeMat-Bulk).

```
BaPtSe2
1.0
4.457 0.000 0.000
-2.228 3.860 0.000
0.000 0.000 17.874
Ba Pt Se
3 3 6
direct
0.000 0.000 0.000
0.333 0.667 0.667
0.667 0.333 0.333
0.000 0.000 0.500
0.333 0.667 0.167
0.667 0.333 0.833
0.000 0.000 0.220
0.000 0.000 0.780
0.333 0.667 0.447
0.333 0.667 0.886
0.667 0.333 0.114
0.667 0.333 0.553
```

## Properties
Total magnetic moment: 0.00 μB per cell
Energy above the lowest structure with this stoichiometry: 0.263 eV/atom
Formation energy (no corrections): -811 meV/atom

***

# NiSe2Br

Crystalline NiSe2Br at its relaxed geometry (PBE, Alexandria via LeMat-Bulk).

```
NiSe2Br
1.0
3.273 0.000 0.000
0.000 3.273 0.000
0.000 0.000 8.602
Ni Se Br
1 2 1
direct
0.000 0.000 0.000
0.000 0.000 0.265
0.500 0.500 0.908
0.500 0.500 0.625
```

## Properties
Total magnetic moment: 0.00 μB per cell
Energy above the lowest structure with this stoichiometry: 0.394 eV/atom
Formation energy (no corrections): 156 meV/atom

***

# LiScB3

Crystalline LiScB3 at its relaxed geometry (PBE, Alexandria via LeMat-Bulk).

```
LiScB3
1.0
4.488 0.000 0.000
0.000 4.488 0.000
0.000 0.000 4.488
Li Sc B
1 1 3
direct
0.000 0.000 0.000
0.500 0.500 0.500
0.000 0.500 0.500
0.500 0.000 0.500
0.500 0.500 0.000
```

## Properties
Total magnetic moment: 0.00 μB per cell
Energy above the lowest structure with this stoichiometry: 0.789 eV/atom
Energy relative to the elements: 9.00 eV per formula unit

***

# SrCaIn

Crystalline SrCaIn at its relaxed geometry (PBE, Alexandria via LeMat-Bulk).

```
SrCaIn
1.0
4.004 0.000 0.000
0.000 4.004 0.000
0.000 0.000 13.757
Sr Ca In
2 2 2
direct
0.000 0.000 0.000
0.500 0.500 0.500
0.000 0.000 0.722
0.500 0.500 0.222
0.000 0.000 0.349
0.500 0.500 0.849
```

## Properties
Total magnetic moment: 0.00 μB per cell
Energy relative to the elements: -0.96 eV per formula unit

***

# BaSc2ZnGa

Crystalline BaSc2ZnGa at its relaxed geometry (PBE, Alexandria via LeMat-Bulk).

```
BaSc2ZnGa
1.0
5.468 0.000 0.000
0.000 5.468 0.000
0.000 0.000 5.480
Ba Sc Zn Ga
1 2 1 1
direct
0.000 0.000 0.000
0.000 0.500 0.000
0.500 0.000 0.000
0.000 0.000 0.500
0.500 0.500 0.500
```

## Properties
Total magnetic moment: 0.00 μB per cell
Energy relative to the elements: 6.47 eV per formula unit

***

# K2LiMnCl5

Crystalline K2LiMnCl5 at its relaxed geometry (PBE, Alexandria via LeMat-Bulk).

```
K2LiMnCl5
1.0
2.063 -9.463 0.000
2.063 9.463 0.000
0.000 0.000 12.292
K Li Mn Cl
4 2 2 10
direct
0.117 0.883 0.500
0.120 0.880 0.132
0.880 0.120 0.632
0.883 0.117 0.000
0.228 0.772 0.844
0.772 0.228 0.344
0.413 0.587 0.283
0.587 0.413 0.783
0.042 0.958 0.863
0.307 0.693 0.174
0.315 0.685 0.445
0.348 0.652 0.820
0.488 0.512 0.123
0.512 0.488 0.623
0.652 0.348 0.320
0.685 0.315 0.945
0.693 0.307 0.674
0.958 0.042 0.363
```

## Properties
Total magnetic moment: 10.00 μB per cell
Formation energy (no corrections): -1622 meV/atom

***

# Hg2H2Pt

Crystalline Hg2H2Pt at its relaxed geometry (PBE, Alexandria via LeMat-Bulk).

```
Hg2H2Pt
1.0
5.458 0.000 0.000
0.000 5.458 0.000
0.000 0.000 4.812
Hg H Pt
4 4 2
direct
0.184 0.316 0.000
0.316 0.816 0.000
0.684 0.184 0.000
0.816 0.684 0.000
0.248 0.252 0.500
0.252 0.752 0.500
0.748 0.248 0.500
0.752 0.748 0.500
0.000 0.000 0.500
0.500 0.500 0.500
```

## Properties
Total magnetic moment: 0.00 μB per cell
Energy above the lowest structure with this stoichiometry: 0.232 eV/atom

***

# AlV2CrIn

Crystalline AlV2CrIn at its relaxed geometry (PBE, Alexandria via LeMat-Bulk).

```
AlV2CrIn
1.0
5.001 0.000 0.000
0.000 5.001 0.000
0.000 0.000 4.946
Al V Cr In
1 2 1 1
direct
0.000 0.000 0.000
0.000 0.500 0.500
0.500 0.000 0.500
0.500 0.500 0.000
0.500 0.500 0.500
```

## Properties
Total magnetic moment: 9.23 μB per cell
Energy relative to the elements: 8.41 eV per formula unit

***

# AcThSb2

Crystalline AcThSb2 at its relaxed geometry (PBE, Alexandria via LeMat-Bulk).

```
AcThSb2
1.0
7.939 0.000 0.000
0.000 7.939 0.000
0.000 0.000 7.939
Ac Th Sb
4 4 8
direct
0.000 0.000 0.000
0.000 0.500 0.500
0.500 0.000 0.500
0.500 0.500 0.000
0.000 0.000 0.500
0.000 0.500 0.000
0.500 0.000 0.000
0.500 0.500 0.500
0.250 0.250 0.250
0.250 0.250 0.750
0.250 0.750 0.250
0.250 0.750 0.750
0.750 0.250 0.250
0.750 0.250 0.750
0.750 0.750 0.250
0.750 0.750 0.750
```

## Properties
Total magnetic moment: 0.01 μB per cell
Energy above the lowest structure with this stoichiometry: 0.239 eV/atom
Formation energy (no corrections): -822 meV/atom

***

# ZrBe2Pb

Crystalline ZrBe2Pb at its relaxed geometry (PBE, Alexandria via LeMat-Bulk).

```
ZrBe2Pb
1.0
4.150 0.000 0.000
0.000 4.150 0.000
0.000 0.000 8.055
Zr Be Pb
2 4 2
direct
0.000 0.000 0.000
0.500 0.500 0.500
0.000 0.500 0.250
0.000 0.500 0.750
0.500 0.000 0.250
0.500 0.000 0.750
0.000 0.000 0.500
0.500 0.500 0.000
```

## Properties
Total magnetic moment: 0.00 μB per cell
Energy relative to the elements: 1.68 eV per formula unit

***

# Zr3SbAs

Crystalline Zr3SbAs at its relaxed geometry (PBE, Alexandria via LeMat-Bulk).

```
Zr3SbAs
1.0
5.017 0.000 0.000
0.000 5.017 0.000
0.000 0.000 5.017
Zr Sb As
3 1 1
direct
0.000 0.000 0.500
0.000 0.500 0.000
0.500 0.000 0.000
0.500 0.500 0.500
0.000 0.000 0.000
```

## Properties
Total magnetic moment: 0.00 μB per cell
Energy above the lowest structure with this stoichiometry: 0.682 eV/atom
Formation energy (no corrections): -67 meV/atom

***

# LiZnIr2

Crystalline LiZnIr2 at its relaxed geometry (PBE, Alexandria via LeMat-Bulk).

```
LiZnIr2
1.0
4.128 0.000 0.000
0.000 4.128 0.000
0.000 0.000 3.126
Li Zn Ir
1 1 2
direct
0.000 0.000 0.000
0.500 0.500 0.000
0.000 0.500 0.500
0.500 0.000 0.500
```

## Properties
Total magnetic moment: 0.00 μB per cell
Energy relative to the elements: 0.10 eV per formula unit

***

# ZrCd2In2

Crystalline ZrCd2In2 at its relaxed geometry (PBE, Alexandria via LeMat-Bulk).

```
ZrCd2In2
1.0
8.222 0.000 0.000
0.000 8.222 0.000
0.000 0.000 3.469
Zr Cd In
2 4 4
direct
0.000 0.000 0.000
0.500 0.500 0.000
0.163 0.337 0.500
0.337 0.837 0.500
0.663 0.163 0.500
0.837 0.663 0.500
0.138 0.638 0.000
0.362 0.138 0.000
0.638 0.862 0.000
0.862 0.362 0.000
```

## Properties
Total magnetic moment: 0.00 μB per cell
Energy above the lowest structure with this stoichiometry: 0.011 eV/atom
Energy relative to the elements: 0.49 eV per formula unit

***

# PmAl3CuIr

Crystalline PmAl3CuIr at its relaxed geometry (PBE, Alexandria via LeMat-Bulk).

```
PmAl3CuIr
1.0
3.208 -6.317 0.000
3.208 6.317 0.000
0.000 0.000 5.580
Pm Al Cu Ir
2 6 2 2
direct
0.223 0.777 0.750
0.777 0.223 0.250
0.198 0.198 0.000
0.198 0.198 0.500
0.359 0.641 0.250
0.641 0.359 0.750
0.802 0.802 0.000
0.802 0.802 0.500
0.148 0.852 0.250
0.852 0.148 0.750
0.439 0.561 0.750
0.561 0.439 0.250
```

## Properties
Total magnetic moment: 0.00 μB per cell
Energy relative to the elements: -2.20 eV per formula unit

***

# Pr2GaAgS5

Crystalline Pr2GaAgS5 at its relaxed geometry (PBE, Alexandria via LeMat-Bulk).

```
Pr2GaAgS5
1.0
1.957 -8.883 0.000
1.957 8.883 0.000
0.000 0.000 11.381
Pr Ga Ag S
4 2 2 10
direct
0.119 0.881 0.500
0.126 0.874 0.116
0.874 0.126 0.616
0.881 0.119 0.000
0.433 0.567 0.271
0.567 0.433 0.771
0.228 0.772 0.842
0.772 0.228 0.342
0.040 0.960 0.878
0.290 0.710 0.497
0.321 0.679 0.174
0.369 0.631 0.813
0.498 0.502 0.094
0.502 0.498 0.594
0.631 0.369 0.313
0.679 0.321 0.674
0.710 0.290 0.997
0.960 0.040 0.378
```

## Properties
Total magnetic moment: 0.00 μB per cell
Formation energy (no corrections): -1311 meV/atom

***

# Ta2InS

Crystalline Ta2InS at its relaxed geometry (PBE, Alexandria via LeMat-Bulk).

```
Ta2InS
1.0
4.016 0.000 0.000
0.000 4.016 0.000
0.000 0.000 19.560
Ta In S
8 4 4
direct
0.248 0.250 0.125
0.250 0.748 0.375
0.250 0.752 0.875
0.252 0.250 0.625
0.748 0.750 0.625
0.750 0.248 0.875
0.750 0.252 0.375
0.752 0.750 0.125
0.000 0.000 0.500
0.000 0.500 0.750
0.500 0.000 0.250
0.500 0.500 0.000
0.000 0.000 0.000
0.000 0.500 0.250
0.500 0.000 0.750
0.500 0.500 0.500
```

## Properties
Total magnetic moment: 0.00 μB per cell
Energy above the lowest structure with this stoichiometry: 0.078 eV/atom
Formation energy (no corrections): 419 meV/atom

***

# BaTl8Bi4

Crystalline BaTl8Bi4 at its relaxed geometry (PBE, Alexandria via LeMat-Bulk).

```
BaTl8Bi4
1.0
-5.603 5.603 3.550
5.603 -5.603 3.550
5.603 5.603 -3.550
Ba Tl Bi
1 8 4
direct
0.000 0.000 0.000
0.000 0.352 0.352
0.000 0.648 0.648
0.289 0.500 0.789
0.352 0.000 0.352
0.500 0.289 0.789
0.500 0.711 0.211
0.648 0.000 0.648
0.711 0.500 0.211
0.000 0.000 0.500
0.000 0.500 0.000
0.500 0.000 0.000
0.500 0.500 0.500
```

## Properties
Total magnetic moment: 0.00 μB per cell
Energy relative to the elements: -1.30 eV per formula unit

***

# MoPbSe

Crystalline MoPbSe at its relaxed geometry (PBE, Alexandria via LeMat-Bulk).

```
MoPbSe
1.0
4.496 0.000 0.000
-2.248 3.894 0.000
0.000 0.000 3.612
Mo Pb Se
1 1 1
direct
0.000 0.000 0.000
0.667 0.333 0.500
0.333 0.667 0.000
```

## Properties
Total magnetic moment: 0.01 μB per cell
Energy above the lowest structure with this stoichiometry: 0.423 eV/atom
Formation energy (no corrections): 388 meV/atom